1.
DFT (PBE-GGA) results for a relaxed structure of SiHgBr2.

Lattice parameters (Å, degrees): 3.9309 3.9309 10.9589 90.00 90.00 121.22
Fractional positions:
Si (0.0000, 0.0000, 0.0000)
Hg (0.0000, 0.0000, 0.5000)
Br (0.5000, 0.5000, 0.1672)
Br (0.5000, 0.5000, 0.8328)

Computed properties:
formation energy without anion corrections: -0.001 eV per atom
symmetry: Cmmm


2.
DFT (PBE-GGA) results for a relaxed structure of TeP2Os.

Lattice parameters (Å, degrees): 2.8966 2.8966 10.1447 90.00 90.00 90.00
Fractional positions:
Te (0.0000, 0.0000, 0.0000)
P (0.5000, 0.5000, 0.3505)
P (0.5000, 0.5000, 0.6495)
Os (0.0000, 0.0000, 0.5000)

Computed properties:
formation energy without anion corrections: 0.166 eV per atom
symmetry: P4/mmm


3.
DFT (PBE-GGA) results for a relaxed structure of CoTc2Rh.

Lattice parameters (Å, degrees): 4.5733 4.5733 4.5733 130.65 130.65 72.36
Fractional positions:
Co (0.0000, 0.0000, 0.0000)
Tc (0.2500, 0.7500, 0.5000)
Tc (0.5000, 0.5000, 0.0000)
Rh (0.7500, 0.2500, 0.5000)

Computed properties:
ΔE_f: 0.029 eV per atom
symmetry: I-4m2


Taking the records one at a time from the top gives DOS at the Fermi energy values of 0.20; 0.86; 4.70 states/eV/f.u..
Taking the records one at a time from the top gives DFT total energy values of -2.268; -6.132; -8.769 eV/atom.